Record 1
Density functional theory data (GGA-PBE) for a geometry-optimized CrPb2Se structure.

Values from the calculation:
ΔE_f (raw) in eV per atom: 0.00
Crystal system: tetragonal
Space-group type: No. 99
Calculated density in g/cm³: 8.90

Unit cell a=3.4309 b=3.4309 c=8.6396 alpha=90.00 beta=90.00 gamma=90.00
Last column: nearest neighbours and their distance in Å.
Fractional positions:
Cr 0.0000 0.0000 0.0000  4 Se 2.60
Pb 0.0000 0.0000 0.5687  8 Pb 3.43-3.53, 4 Se 3.70, 1 Cr 3.73
Pb 0.5000 0.5000 0.2721  1 Se 3.28, 4 Cr 3.38, 8 Pb 3.43-3.53
Se 0.5000 0.5000 0.8922  4 Cr 2.60

---

Record 2
Density functional theory data (GGA-PBE) for a geometry-optimized Ac4Ga5Tc structure.

Values from the calculation:
Formation energy in eV/atom: -0.3499
Crystal system: tetragonal
Space-group type: No. 79
Calculated density in g/cm³: 8.06

Unit cell a=7.3397 b=7.3397 c=7.3397 alpha=100.96 beta=100.96 gamma=128.30
Last column: nearest neighbours and their distance in Å.
Fractional positions:
Ac 0.0692 0.2997 0.3689  1 Tc 3.13, 5 Ga 3.18-3.38
Ac 0.2997 0.9308 0.2304  1 Tc 3.13, 5 Ga 3.18-3.38
Ac 0.7003 0.0692 0.7696  1 Tc 3.13, 5 Ga 3.18-3.38
Ac 0.9308 0.7003 0.6311  1 Tc 3.13, 5 Ga 3.18-3.38
Ga 0.2997 0.5688 0.8794  3 Ga 2.69-2.75, 1 Tc 2.74
Ga 0.4204 0.2997 0.7309  3 Ga 2.69-2.75, 1 Tc 2.74
Ga 0.5688 0.6894 0.2691  3 Ga 2.69-2.75, 1 Tc 2.74
Ga 0.6894 0.4204 0.1206  3 Ga 2.69-2.75, 1 Tc 2.74
Ga 0.7856 0.7856 0.0000  1 Tc 2.61, 4 Ga 2.69
Tc 0.1931 0.1931 0.0000  5 Ga 2.61-2.74

---

Record 3
Density functional theory data (GGA-PBE) for a geometry-optimized Ce8HgRu6 structure.

Values from the calculation:
Formation energy in eV/atom: -0.2947
Crystal system: trigonal
Space-group type: No. 147
Calculated density in g/cm³: 9.02

Unit cell a=10.1369 b=10.1369 c=3.9891 alpha=90.00 beta=90.00 gamma=120.00
Last column: nearest neighbours and their distance in Å.
Fractional positions:
Ce 0.0492 0.3252 0.2376  4 Ru 2.60-2.89
Ce 0.2760 0.9508 0.2376  4 Ru 2.60-2.89
Ce 0.3252 0.2760 0.7624  4 Ru 2.60-2.89
Ce 0.3333 0.6667 0.7454  6 Ru 3.02-3.05
Ce 0.6667 0.3333 0.2546  6 Ru 3.02-3.05
Ce 0.6748 0.7240 0.2376  4 Ru 2.60-2.89
Ce 0.7240 0.0492 0.7624  4 Ru 2.60-2.89
Ce 0.9508 0.6748 0.7624  4 Ru 2.60-2.89
Hg 0.0000 0.0000 0.5000  6 Ce 3.25
Ru 0.0892 0.6231 0.2515  4 Ce 2.60-2.89
Ru 0.3769 0.4661 0.2515  4 Ce 2.60-2.89
Ru 0.4661 0.0892 0.7485  4 Ce 2.60-2.89
Ru 0.5339 0.9108 0.2515  4 Ce 2.60-2.89
Ru 0.6231 0.5339 0.7485  4 Ce 2.60-2.89
Ru 0.9108 0.3769 0.7485  4 Ce 2.60-2.89

---

Record 4
Density functional theory data (GGA-PBE) for a geometry-optimized AlSb2OsI structure.

Values from the calculation:
ΔE_f (raw) in eV per atom: 0.71
Crystal system: tetragonal
Space-group type: No. 123
Calculated density in g/cm³: 6.39

Unit cell a=5.0657 b=5.0657 c=5.9552 alpha=90.00 beta=90.00 gamma=90.00
Last column: nearest neighbours and their distance in Å.
Fractional positions:
Al 0.0000 0.0000 0.0000  4 I 3.58, 8 Sb 3.91
Sb 0.0000 0.5000 0.5000  2 Os 2.53
Sb 0.5000 0.0000 0.5000  2 Os 2.53
Os 0.5000 0.5000 0.5000  4 Sb 2.53
I 0.5000 0.5000 0.0000  2 Os 2.98

---

Record 5
Density functional theory data (GGA-PBE) for a geometry-optimized ZrGa2O2 structure.

Values from the calculation:
ΔE_f (raw) in eV per atom: -0.49
Crystal system: tetragonal
Space-group type: No. 127
Calculated density in g/cm³: 5.63

Unit cell a=7.0830 b=7.0830 c=3.0900 alpha=90.00 beta=90.00 gamma=90.00
Last column: nearest neighbours and their distance in Å.
Fractional positions:
Zr 0.0000 0.0000 0.0000  4 Ga 2.82, 8 O 2.94, 2 Zr 3.09
Zr 0.5000 0.5000 0.0000  4 Ga 2.82, 8 O 2.94, 2 Zr 3.09
Ga 0.1200 0.3800 0.0000  2 O 1.97
Ga 0.3800 0.8800 0.0000  2 O 1.97
Ga 0.6200 0.1200 0.0000  2 O 1.97
Ga 0.8800 0.6200 0.0000  2 O 1.97
O 0.2412 0.2588 0.5000  2 Ga 1.97
O 0.2588 0.7588 0.5000  2 Ga 1.97
O 0.7412 0.2412 0.5000  2 Ga 1.97
O 0.7588 0.7412 0.5000  2 Ga 1.97

---

Record 6
Density functional theory data (GGA-PBE) for a geometry-optimized Li2HgOs structure.

Values from the calculation:
Formation energy in eV/atom: 0.2372
Crystal system: orthorhombic
Space-group type: No. 65
Calculated density in g/cm³: 10.87

Unit cell a=4.9988 b=4.9988 c=2.6641 alpha=90.00 beta=90.00 gamma=111.76
Last column: nearest neighbours and their distance in Å.
Fractional positions:
Li 0.0000 0.5000 0.0000  4 Li 2.66-2.80, 4 Hg 2.83, 4 Os 2.83
Li 0.5000 0.0000 0.0000  4 Li 2.66-2.80, 4 Hg 2.83, 4 Os 2.83
Hg 0.0000 0.0000 0.5000  2 Hg 2.66, 2 Os 2.80, 8 Li 2.83
Os 0.5000 0.5000 0.5000  2 Os 2.66, 2 Hg 2.80, 8 Li 2.83

---

Record 7
Density functional theory data (GGA-PBE) for a geometry-optimized CsAgBrF2 structure.

Values from the calculation:
ΔE_f (raw) in eV per atom: -1.43
Crystal system: tetragonal
Space-group type: No. 123
Calculated density in g/cm³: 5.04

Unit cell a=4.7875 b=4.7875 c=5.1529 alpha=90.00 beta=90.00 gamma=90.00
Last column: nearest neighbours and their distance in Å.
Fractional positions:
Cs 0.0000 0.0000 0.0000  4 Br 3.39, 8 F 3.52
Ag 0.5000 0.5000 0.5000  4 F 2.39, 2 Br 2.58
Br 0.5000 0.5000 0.0000  2 Ag 2.58
F 0.0000 0.5000 0.5000  2 Ag 2.39
F 0.5000 0.0000 0.5000  2 Ag 2.39

---

Record 8
Density functional theory data (GGA-PBE) for a geometry-optimized Sr2CeSmO6 structure.

Values from the calculation:
ΔE_f (raw) in eV per atom: -2.93
Crystal system: monoclinic
Space-group type: No. 14
Calculated density in g/cm³: 5.67

Unit cell a=6.0618 b=6.2396 c=10.6013 alpha=90.00 beta=124.89 gamma=90.00
Last column: nearest neighbours and their distance in Å.
Fractional positions:
Sr 0.2330 0.0488 0.2494  5 O 2.52-2.81
Sr 0.2330 0.4512 0.7494  5 O 2.52-2.81
Sr 0.7670 0.5488 0.2506  5 O 2.52-2.81
Sr 0.7670 0.9512 0.7506  5 O 2.52-2.81
Ce 0.5000 0.0000 0.0000  6 O 2.22-2.26
Ce 0.5000 0.5000 0.5000  6 O 2.22-2.26
Sm 0.0000 0.0000 0.5000  6 O 2.32-2.34
Sm 0.0000 0.5000 0.0000  6 O 2.32-2.34
O 0.1479 0.1988 0.9402  1 Ce 2.22, 1 Sm 2.32
O 0.1479 0.3012 0.4402  1 Ce 2.22, 1 Sm 2.32
O 0.2401 0.7094 0.9372  1 Ce 2.24, 1 Sm 2.32
O 0.2401 0.7906 0.4372  1 Ce 2.24, 1 Sm 2.32
O 0.3681 0.0499 0.7551  1 Ce 2.26, 1 Sm 2.34, 1 Sr 2.52
O 0.3681 0.4501 0.2551  1 Ce 2.26, 1 Sm 2.34, 1 Sr 2.52
O 0.6319 0.5499 0.7449  1 Ce 2.26, 1 Sm 2.34, 1 Sr 2.52
O 0.6319 0.9501 0.2449  1 Ce 2.26, 1 Sm 2.34, 1 Sr 2.52
O 0.7599 0.2094 0.5628  1 Ce 2.24, 1 Sm 2.32
O 0.7599 0.2906 0.0628  1 Ce 2.24, 1 Sm 2.32
O 0.8521 0.6988 0.5598  1 Ce 2.22, 1 Sm 2.32
O 0.8521 0.8012 0.0598  1 Ce 2.22, 1 Sm 2.32